# 1
# K2RbNbF6 (PBE, relaxed)
data_K2RbNbF6
_cell_length_a 9.462
_cell_length_b 9.462
_cell_length_c 9.462
_cell_angle_alpha 90.00
_cell_angle_beta 90.00
_cell_angle_gamma 90.00
_symmetry_space_group_name_H-M 'F m -3 m'
_symmetry_Int_Tables_number 225
_symmetry_space_group_name_Hall '-F 4 2 3'
loop_
_atom_site_label
_atom_site_type_symbol
_atom_site_fract_x
_atom_site_fract_y
_atom_site_fract_z
_atom_site_occupancy
K1 K 0.250 0.250 0.250 1
Rb1 Rb 0.000 0.000 0.000 1
Nb1 Nb 0.000 0.000 0.500 1
F1 F 0.000 0.000 0.278 1
# * total moment: 7.99 Bohr magnetons per cell
# * VASP energy: -204.85 eV per cell



# 2
# KRbNbF6 (PBE, relaxed)
data_KRbNbF6
_cell_length_a 6.6394
_cell_length_b 6.6394
_cell_length_c 9.5898
_cell_angle_alpha 90.00
_cell_angle_beta 90.00
_cell_angle_gamma 120.00
_symmetry_space_group_name_H-M 'P -3 1 c'
_symmetry_Int_Tables_number 163
_symmetry_space_group_name_Hall '-P 3 2c'
loop_
_atom_site_label
_atom_site_type_symbol
_atom_site_fract_x
_atom_site_fract_y
_atom_site_fract_z
_atom_site_occupancy
K1 K 0.3333 0.6667 0.2500 1
Rb1 Rb 0.0000 0.0000 0.0000 1
Nb1 Nb 0.3333 0.6667 0.7500 1
F1 F 0.0723 0.4064 0.6415 1
# * total moment: 2.00 Bohr magnetons per cell
# * VASP energy: -99.95 eV per cell